# Be3AlBr | Alexandria | GGA-PBE | optimized geometry
data_Be3AlBr
_space_group_name_H-M_alt 'P m -3 m'
_space_group_IT_number 221
_space_group_name_Hall '-P 4 2 3'
_cell_length_a 4.581
_cell_length_b 4.581
_cell_length_c 4.581
_cell_angle_alpha 90.00
_cell_angle_beta 90.00
_cell_angle_gamma 90.00
loop_
_atom_site_label
_atom_site_fract_x
_atom_site_fract_y
_atom_site_fract_z
_atom_site_occupancy
Be1 0.000 0.000 0.500 1
Al1 0.000 0.000 0.000 1
Br1 0.500 0.500 0.500 1
# energy relative to the elements, uncorrected: 911 meV/atom


# BeAl2Br | Alexandria | GGA-PBE | optimized geometry
data_BeAl2Br
_space_group_name_H-M_alt 'P 4/m m m'
_space_group_IT_number 123
_space_group_name_Hall '-P 4 2'
_cell_length_a 4.947
_cell_length_b 4.947
_cell_length_c 3.023
_cell_angle_alpha 90.00
_cell_angle_beta 90.00
_cell_angle_gamma 90.00
loop_
_atom_site_label
_atom_site_fract_x
_atom_site_fract_y
_atom_site_fract_z
_atom_site_occupancy
Be1 0.000 0.000 0.000 1
Al1 0.000 0.500 0.500 1
Br1 0.500 0.500 0.000 1
# energy relative to the elements, uncorrected: 504 meV/atom


# BeAl2Br | Alexandria | GGA-PBE | optimized geometry
data_BeAl2Br
_space_group_name_H-M_alt 'P m m m'
_space_group_IT_number 47
_cell_length_a 3.065
_cell_length_b 4.796
_cell_length_c 4.998
_cell_angle_alpha 90.00
_cell_angle_beta 90.00
_cell_angle_gamma 90.00
loop_
_space_group_symop_operation_xyz
'x,y,z'
'-x,-y,-z'
'-x,-y,z'
'x,y,-z'
'x,-y,-z'
'-x,y,z'
'-x,y,-z'
'x,-y,z'
loop_
_atom_site_label
_atom_site_fract_x
_atom_site_fract_y
_atom_site_fract_z
_atom_site_occupancy
Be1 0.000 0.000 0.000 1
Al1 0.000 0.500 0.500 1
Al2 0.500 0.000 0.500 1
Br1 0.500 0.500 0.000 1
# energy relative to the elements, uncorrected: 504 meV/atom


# BeAl2Br | Alexandria | GGA-PBE | optimized geometry
data_BeAl2Br
_space_group_name_H-M_alt 'P 1 2/m 1'
_space_group_IT_number 10
_cell_length_a 3.872
_cell_length_b 4.502
_cell_length_c 4.725
_cell_angle_alpha 90.00
_cell_angle_beta 104.89
_cell_angle_gamma 90.00
loop_
_space_group_symop_operation_xyz
'x,y,z'
'-x,-y,-z'
'-x,y,-z'
'x,-y,z'
loop_
_atom_site_label
_atom_site_fract_x
_atom_site_fract_y
_atom_site_fract_z
_atom_site_occupancy
Be1 0.000 0.000 0.000 1
Al1 0.156 0.500 0.786 1
Br1 0.500 0.000 0.500 1
# energy relative to the elements, uncorrected: 420 meV/atom


> Look up the energy relative to the elements, uncorrected of the second one.

504 meV/atom